Here is an optimized crystal structure of HgBi from the Open Quantum Materials Database. Energies are from GGA-PBE.

The calculated volume is 237 Å³/cell. As for the electronic total energy: -2.02 eV/atom.

It has space group Fm-3m (No. 225), with a = 6.1905 Å, b = 6.1905 Å, c = 6.1905 Å, α = 90.00°, β = 90.00° and γ = 90.00°. The asymmetric unit holds Hg at (0.0000, 0.0000, 0.0000) and Bi at (0.0000, 0.0000, 0.5000).